DFT (PBE-GGA) results for an optimized crystal structure of TlGaNi.

a b c (Å): 4.4227 4.4227 4.4227
angles (deg): 60.00 60.00 60.00
Sites, in units of the cell vectors:
Ga 0.2500 0.2500 0.2500
Ni 0.7500 0.7500 0.7500
Tl 0.0000 0.0000 0.0000

Summary:
**VASP energy**: -3.17 eV/atom
**Energy above the lowest structure with this stoichiometry**: 437.1 meV/atom
**Mass density**: 9.034 g cm⁻³